Entry from OQMD: a relaxed AlSnW4N2 crystal (PBE).

The structure in extended XYZ format:
```
8
Lattice="2.9045 0.0000 0.0000 -1.4522 2.5154 0.0000 0.0000 0.0000 14.9942" Properties=species:S:1:pos:R:3 pbc="T T T"
Al 0.0000 0.0000 0.0000
Sn 1.4522 0.8385 7.4971
W 0.0000 0.0000 5.0765
W 0.0000 0.0000 9.9177
W 1.4522 0.8385 2.2428
W 1.4522 0.8385 12.7515
N 0.0000 1.6769 3.6643
N 0.0000 1.6769 11.3299
```

Properties
* magnetic moment: 0.00 μB/f.u.


Entry from OQMD: a relaxed Ta3AlN2 crystal (PBE).

The structure in extended XYZ format:
```
12
Lattice="3.0738 0.0000 0.0000 -1.5369 2.6620 0.0000 0.0000 0.0000 19.1141" Properties=species:S:1:pos:R:3 pbc="T T T"
Ta 0.0000 0.0000 0.0000
Ta 0.0000 0.0000 9.5570
Ta 0.0000 1.7746 2.5518
Ta 0.0000 1.7746 7.0052
Ta 1.5369 0.8873 12.1089
Ta 1.5369 0.8873 16.5623
Al 0.0000 0.0000 4.7785
Al 0.0000 0.0000 14.3356
N 0.0000 1.7746 10.8412
N 0.0000 1.7746 17.8299
N 1.5369 0.8873 1.2842
N 1.5369 0.8873 8.2729
```

Properties
* magnetic moment: 0.00 μB/f.u.


Entry from OQMD: a relaxed Ta4AlTlN2 crystal (PBE).

The structure in extended XYZ format:
```
8
Lattice="3.0135 0.0000 0.0000 -1.5067 2.6097 0.0000 0.0000 0.0000 14.9374" Properties=species:S:1:pos:R:3 pbc="T T T"
Ta 0.0000 0.0000 2.2175
Ta 0.0000 0.0000 12.7198
Ta 1.5067 0.8699 4.9483
Ta 1.5067 0.8699 9.9891
Al 1.5067 0.8699 0.0000
Tl 0.0000 0.0000 7.4687
N 0.0000 1.7398 3.5769
N 0.0000 1.7398 11.3604
```

Properties
* magnetic moment: 0.00 μB/f.u.


Entry from OQMD: a relaxed Ta2Al3W4N3 crystal (PBE).

The structure in extended XYZ format:
```
24
Lattice="4.3296 -2.5066 0.0000 4.3296 2.5066 0.0000 -2.8878 0.0000 14.6384" Properties=species:S:1:pos:R:3 pbc="T T T"
Ta 2.1658 2.0930 8.7676
Ta 2.1617 2.0930 13.1900
Ta 3.6097 -2.0930 1.4484
Ta 3.6055 -2.0930 5.8708
Al -0.5751 0.5134 10.9746
Al 0.8688 -0.5134 3.6554
Al 2.1637 0.2586 10.9788
Al 3.6076 -0.2586 3.6596
Al 4.9025 0.5134 10.9830
Al 6.3464 -0.5134 3.6638
W 2.1752 0.4119 1.4112
W 2.1579 0.4069 5.9113
W 0.7314 -0.4119 8.7304
W 0.7140 -0.4069 13.2304
W 5.0573 0.4069 1.4079
W 5.0400 0.4119 5.9080
W 3.6134 -0.4069 8.7271
W 3.5961 -0.4119 13.2272
N 0.7209 1.2533 7.3192
N 3.6147 1.2725 0.0000
N 3.6005 1.2725 7.3192
N 2.1648 -1.2533 0.0000
N 2.1708 -1.2725 7.3192
N 5.0444 -1.2725 0.0000
```

Properties
* magnetic moment: 0.00 μB/f.u.


Calculated total DFT energy (no corrections), -74.279 -59.968 -73.685 -114.587 eV/f.u. (same order as the records).